No. 1
## CsZnH3 (SCAN)

Data for a PBEsol-optimized structure of CsZnH3.

Calculated values
- Energy: -11.16 eV/atom

Cell: 4.982 4.982 4.982 Å, 90.00 90.00 90.00°
Space group Pm-3m (No. 221)
One atom of each set of equivalent atoms:
Cs1 0.000 0.000 0.000 [1 per cell]
Zn1 0.500 0.500 0.500 [1 per cell]
H1 0.000 0.000 0.500 [3 per cell]

=====

No. 2
## Cs3ZnH5 (SCAN)

Data for a PBEsol-optimized structure of Cs3ZnH5.

Calculated values
- Energy: -16.35 eV/atom

Cell: 8.015 8.015 11.958 Å, 90.00 90.00 90.00°
Space group I4/mcm (No. 140)
One atom of each set of equivalent atoms:
Cs1 0.000 0.000 0.250 [4 per cell]
Cs2 0.178 0.322 0.000 [8 per cell]
Zn1 0.000 0.500 0.250 [4 per cell]
H1 0.000 0.000 0.000 [4 per cell]
H2 0.118 0.382 0.331 [16 per cell]

=====

No. 3
## Cs2HfMgIr (SCAN)

Data for a PBEsol-optimized structure of Cs2HfMgIr.

Calculated values
- Energy: -41.33 eV/atom
- Formation energy from the elements: 1544.7 meV/atom

Cell: 5.824 5.824 5.177 Å, 90.00 90.00 90.00°
Space group P4/mmm (No. 123)
One atom of each set of equivalent atoms:
Cs1 0.000 0.500 0.000 [2 per cell]
Hf1 0.000 0.000 0.500 [1 per cell]
Mg1 0.500 0.500 0.500 [1 per cell]
Ir1 0.500 0.500 0.000 [1 per cell]

=====

No. 4
## CsK3Hf (SCAN)

Data for a PBEsol-optimized structure of CsK3Hf.

Calculated values
- Energy: -23.65 eV/atom
- Formation energy from the elements: 1439.2 meV/atom

Cell: 6.697 6.697 6.697 Å, 90.00 90.00 90.00°
Space group Pm-3m (No. 221)
One atom of each set of equivalent atoms:
Cs1 0.000 0.000 0.000 [1 per cell]
K1 0.000 0.000 0.500 [3 per cell]
Hf1 0.500 0.500 0.500 [1 per cell]

=====

No. 5
## CsKHfTa2 (SCAN)

Data for a PBEsol-optimized structure of CsKHfTa2.

Calculated values
- Energy: -46.70 eV/atom
- Formation energy from the elements: 1692.4 meV/atom

Cell: 5.022 5.022 6.646 Å, 90.00 90.00 90.00°
Space group P4/mmm (No. 123)
One atom of each set of equivalent atoms:
Cs1 0.000 0.000 0.000 [1 per cell]
K1 0.500 0.500 0.000 [1 per cell]
Hf1 0.500 0.500 0.500 [1 per cell]
Ta1 0.000 0.500 0.500 [2 per cell]

=====

No. 6
## CsLi3Hf (SCAN)

Data for a PBEsol-optimized structure of CsLi3Hf.

Calculated values
- Energy: -20.16 eV/atom
- Formation energy from the elements: 1373.7 meV/atom

Cell: 5.050 5.050 5.050 Å, 90.00 90.00 90.00°
Space group Pm-3m (No. 221)
One atom of each set of equivalent atoms:
Cs1 0.000 0.000 0.000 [1 per cell]
Li1 0.000 0.000 0.500 [3 per cell]
Hf1 0.500 0.500 0.500 [1 per cell]

=====

No. 7
## CsLiHfNb2 (SCAN)

Data for a PBEsol-optimized structure of CsLiHfNb2.

Calculated values
- Energy: -31.28 eV/atom
- Formation energy from the elements: 2549.1 meV/atom

Cell: 5.016 5.016 5.251 Å, 90.00 90.00 90.00°
Space group P4/mmm (No. 123)
One atom of each set of equivalent atoms:
Cs1 0.000 0.000 0.000 [1 per cell]
Li1 0.500 0.500 0.500 [1 per cell]
Hf1 0.000 0.000 0.500 [1 per cell]
Nb1 0.000 0.500 0.000 [2 per cell]

=====

No. 8
## CsHfMg2Ni (SCAN)

Data for a PBEsol-optimized structure of CsHfMg2Ni.

Calculated values
- Energy: -23.34 eV/atom
- Formation energy from the elements: 1981.2 meV/atom

Cell: 5.455 5.455 4.635 Å, 90.00 90.00 90.00°
Space group P4/mmm (No. 123)
One atom of each set of equivalent atoms:
Cs1 0.000 0.000 0.000 [1 per cell]
Hf1 0.500 0.500 0.500 [1 per cell]
Mg1 0.000 0.500 0.000 [2 per cell]
Ni1 0.000 0.000 0.500 [1 per cell]